(1)
The following is a DFT calculation (PBE-GGA) of La2ZnSeO after structural relaxation.

Cell: 4.792 4.792 5.391 Å, 90.00 90.00 90.00°
Fractional positions:
1 La 0.000 0.500 0.000
2 La 0.500 0.000 0.000
3 Zn 0.000 0.000 0.500
4 Se 0.500 0.500 0.500
5 O 0.500 0.500 0.000

* energy relative to the elements, uncorrected: -1.19 eV per atom

***

(2)
The following is a DFT calculation (PBE-GGA) of NpTl2Te2Cl2 after structural relaxation.

Cell: 8.892 8.892 8.892 Å, 140.44 140.44 57.18°
Fractional positions:
1 Np 0.000 0.000 0.000
2 Tl 0.375 0.375 0.000
3 Tl 0.625 0.625 0.000
4 Te 0.000 0.500 0.500
5 Te 0.500 0.000 0.500
6 Cl 0.167 0.167 0.000
7 Cl 0.833 0.833 0.000

* energy relative to the elements, uncorrected: -0.82 eV per atom

***

(3)
The following is a DFT calculation (PBE-GGA) of Y2ZrHg after structural relaxation.

Cell: 3.452 3.452 8.997 Å, 90.00 90.00 90.00°
Fractional positions:
1 Y 0.000 0.000 0.000
2 Y 0.500 0.500 0.305
3 Zr 0.000 0.000 0.551
4 Hg 0.500 0.500 0.764

* DFT formation energy: -121 meV/atom

***

(4)
The following is a DFT calculation (PBE-GGA) of BaH2O after structural relaxation.

Cell: 4.653 4.250 6.991 Å, 90.00 103.63 90.00°
Fractional positions:
1 Ba 0.172 0.000 0.270
2 Ba 0.828 0.500 0.730
3 H 0.246 0.499 0.525
4 H 0.452 0.623 0.024
5 H 0.548 0.123 0.976
6 H 0.754 0.999 0.475
7 O 0.298 0.480 0.050
8 O 0.702 0.980 0.950

***

(5)
The following is a DFT calculation (PBE-GGA) of Li2Ca4Ni after structural relaxation.

Cell: 9.141 9.141 9.141 Å, 145.86 145.86 49.05°
Fractional positions:
1 Li 0.127 0.127 0.000
2 Li 0.873 0.873 0.000
3 Ca 0.000 0.500 0.500
4 Ca 0.330 0.330 0.000
5 Ca 0.500 0.000 0.500
6 Ca 0.670 0.670 0.000
7 Ni 0.500 0.500 0.000

* DFT formation energy: 68 meV/atom

***

(6)
The following is a DFT calculation (PBE-GGA) of NaCeIn2I6 after structural relaxation.

Cell: 8.808 8.808 8.808 Å, 57.95 57.95 57.95°
Fractional positions:
1 Na 0.000 0.000 0.000
2 Ce 0.495 0.495 0.495
3 In 0.294 0.294 0.294
4 In 0.800 0.800 0.800
5 I 0.133 0.714 0.368
6 I 0.235 0.633 0.847
7 I 0.368 0.133 0.714
8 I 0.633 0.847 0.235
9 I 0.714 0.368 0.133
10 I 0.847 0.235 0.633

* energy relative to the elements, uncorrected: -0.97 eV per atom

***

(7)
The following is a DFT calculation (PBE-GGA) of ReN after structural relaxation.

Cell: 2.777 3.029 7.473 Å, 90.00 90.09 90.00°
Fractional positions:
1 Re 0.249 0.250 0.357
2 Re 0.751 0.750 0.643
3 N 0.249 0.750 0.214
4 N 0.751 0.250 0.786

* energy relative to the elements, uncorrected: 0.59 eV per atom

***

(8)
The following is a DFT calculation (PBE-GGA) of HoBBr after structural relaxation.

Cell: 11.794 11.794 11.794 Å, 17.19 17.19 17.19°
Fractional positions:
1 Ho 0.051 0.051 0.051
2 Ho 0.949 0.949 0.949
3 B 0.336 0.336 0.336
4 B 0.664 0.664 0.664
5 Br 0.225 0.225 0.225
6 Br 0.775 0.775 0.775

* energy relative to the elements, uncorrected: -1.07 eV per atom

***

Results for final energy: -25.53; -33.38; -22.26; -37.56; -17.14; -31.69; -39.20; -32.27 (in eV/cell, following the order of the records).
Results for N(E_F): 2.62; 12.97; 4.61; 0.00; 4.70; 8.19; 3.24; 2.49 (in states/eV per cell, following the order of the records).
Results for total magnetization: 0.00; 3.00; 0.11; 0.00; 0.00; 1.00; 0.00; 0.00 (in μB per formula unit, following the order of the records).